(1)
First-principles (PBE) data for a relaxed Li6Tl5Cd crystal, as listed in Alexandria via LeMat-Bulk.

DFT formation energy, eV/atom: -0.23
DFT total energy, eV per atom: -2.25

Unit cell a=8.4116 b=8.4116 c=4.7985 alpha=106.42 beta=106.42 gamma=119.06
Fractional coordinates of all 12 atoms:
Li (0.0847, 0.4170, 0.7511)
Li (0.2491, 0.2491, 0.2490)
Li (0.4170, 0.0847, 0.7511)
Li (0.5830, 0.9153, 0.2489)
Li (0.7509, 0.7509, 0.7510)
Li (0.9153, 0.5830, 0.2489)
Tl (0.0000, 0.0000, 0.5000)
Tl (0.1683, 0.8317, 0.0000)
Tl (0.3386, 0.6614, 0.5000)
Tl (0.6614, 0.3386, 0.5000)
Tl (0.8317, 0.1683, 0.0000)
Cd (0.5000, 0.5000, 0.0000)

(2)
First-principles (PBE) data for a relaxed Dy4Ho3Tm8 crystal, as listed in Alexandria via LeMat-Bulk.

Relative energy among the computed polymorphs, meV/atom: 266
DFT formation energy, eV/atom: 0.41
DFT total energy, eV per atom: -4.12

Unit cell a=9.1658 b=9.1658 c=6.6204 alpha=111.16 beta=111.16 gamma=88.17
Fractional coordinates of all 15 atoms:
Dy (0.0000, 0.0000, 0.0000)
Dy (0.0000, 0.0000, 0.5000)
Dy (0.0000, 0.5000, 0.0000)
Dy (0.5000, 0.0000, 0.0000)
Ho (0.0000, 0.5000, 0.5000)
Ho (0.5000, 0.0000, 0.5000)
Ho (0.5000, 0.5000, 0.0000)
Tm (0.2521, 0.7479, 0.0000)
Tm (0.2663, 0.2663, 0.0262)
Tm (0.2661, 0.2661, 0.5061)
Tm (0.3618, 0.6382, 0.5000)
Tm (0.6382, 0.3618, 0.5000)
Tm (0.7339, 0.7339, 0.4939)
Tm (0.7337, 0.7337, 0.9738)
Tm (0.7479, 0.2521, 0.0000)

(3)
First-principles (PBE) data for a relaxed AcCuSb2Pd4 crystal, as listed in Alexandria via LeMat-Bulk.

Formation energy without anion corrections, eV per atom: -0.5699
DFT total energy, eV per atom: -5.22

Unit cell a=9.5007 b=9.5007 c=9.5007 alpha=27.57 beta=27.57 gamma=27.57
Fractional coordinates of all 8 atoms:
Ac (0.0000, 0.0000, 0.0000)
Cu (0.5000, 0.5000, 0.5000)
Sb (0.2396, 0.2396, 0.2396)
Sb (0.7604, 0.7604, 0.7604)
Pd (0.1392, 0.1392, 0.1392)
Pd (0.4056, 0.4056, 0.4056)
Pd (0.5944, 0.5944, 0.5944)
Pd (0.8608, 0.8608, 0.8608)

(4)
First-principles (PBE) data for a relaxed La4GePbO crystal, as listed in Alexandria via LeMat-Bulk.

Formation energy without anion corrections, eV per atom: -1.2522
DFT total energy, eV per atom: -5.97

Unit cell a=9.5414 b=9.5414 c=6.7657 alpha=90.00 beta=90.00 gamma=138.75
Fractional coordinates of all 14 atoms:
La (0.0000, 0.5000, 0.0000)
La (0.0000, 0.5000, 0.5000)
La (0.0599, 0.9401, 0.7500)
La (0.4220, 0.5780, 0.7500)
La (0.5000, 0.0000, 0.0000)
La (0.5000, 0.0000, 0.5000)
La (0.5780, 0.4220, 0.2500)
La (0.9401, 0.0599, 0.2500)
Ge (0.1169, 0.8831, 0.2500)
Ge (0.8831, 0.1169, 0.7500)
Pb (0.3906, 0.6094, 0.2500)
Pb (0.6094, 0.3906, 0.7500)
O (0.2900, 0.7100, 0.7500)
O (0.7100, 0.2900, 0.2500)

(5)
First-principles (PBE) data for a relaxed Er2Be2Co5Si crystal, as listed in Alexandria via LeMat-Bulk.

Formation energy without anion corrections, eV per atom: -0.3188
DFT total energy, eV per atom: -6.07

Unit cell a=9.0567 b=9.0567 c=3.0429 alpha=90.00 beta=90.00 gamma=90.00
Fractional coordinates of all 20 atoms:
Er (0.1776, 0.3224, 0.0000)
Er (0.3224, 0.8224, 0.0000)
Er (0.6776, 0.1776, 0.0000)
Er (0.8224, 0.6776, 0.0000)
Be (0.1190, 0.6190, 0.0000)
Be (0.3810, 0.1190, 0.0000)
Be (0.6190, 0.8810, 0.0000)
Be (0.8810, 0.3810, 0.0000)
Co (0.0000, 0.5000, 0.5000)
Co (0.0625, 0.7928, 0.5000)
Co (0.2072, 0.0625, 0.5000)
Co (0.2928, 0.5625, 0.5000)
Co (0.4375, 0.2928, 0.5000)
Co (0.5000, 0.0000, 0.5000)
Co (0.5625, 0.7072, 0.5000)
Co (0.7072, 0.4375, 0.5000)
Co (0.7928, 0.9375, 0.5000)
Co (0.9375, 0.2072, 0.5000)
Si (0.0000, 0.0000, 0.0000)
Si (0.5000, 0.5000, 0.0000)

(6)
First-principles (PBE) data for a relaxed CsBaCaSe2 crystal, as listed in Alexandria via LeMat-Bulk.

Formation energy without anion corrections, eV per atom: -0.6261
DFT total energy, eV per atom: -2.98

Unit cell a=5.7688 b=5.7688 c=5.9207 alpha=90.00 beta=90.00 gamma=90.00
Fractional coordinates of all 5 atoms:
Cs (0.0000, 0.0000, 0.0000)
Ba (0.5000, 0.5000, 0.0000)
Ca (0.5000, 0.5000, 0.5000)
Se (0.0000, 0.5000, 0.5000)
Se (0.5000, 0.0000, 0.5000)

(7)
First-principles (PBE) data for a relaxed Pr2Sc4Si3O2 crystal, as listed in Alexandria via LeMat-Bulk.

Formation energy without anion corrections, eV per atom: -1.5668
DFT total energy, eV per atom: -7.12

Unit cell a=12.0932 b=12.0932 c=12.0932 alpha=159.51 beta=159.51 gamma=29.13
Fractional coordinates of all 11 atoms:
Pr (0.1951, 0.1951, 0.0000)
Pr (0.8049, 0.8049, 0.0000)
Sc (0.0765, 0.5765, 0.5000)
Sc (0.4235, 0.9235, 0.5000)
Sc (0.5765, 0.0765, 0.5000)
Sc (0.9235, 0.4235, 0.5000)
Si (0.3357, 0.3357, 0.0000)
Si (0.5000, 0.5000, 0.0000)
Si (0.6643, 0.6643, 0.0000)
O (0.0845, 0.0845, 0.0000)
O (0.9155, 0.9155, 0.0000)

(8)
First-principles (PBE) data for a relaxed Hf6Mn2In crystal, as listed in Alexandria via LeMat-Bulk.

DFT formation energy, eV/atom: -0.09
DFT total energy, eV per atom: -9.07

Unit cell a=7.7776 b=7.7776 c=7.7776 alpha=112.25 beta=111.38 gamma=104.89
Fractional coordinates of all 18 atoms:
Hf (0.0292, 0.2422, 0.7870)
Hf (0.1954, 0.2825, 0.4779)
Hf (0.1954, 0.7175, 0.9129)
Hf (0.3221, 0.0110, 0.6889)
Hf (0.3221, 0.6331, 0.3111)
Hf (0.4552, 0.2422, 0.2130)
Hf (0.5448, 0.7578, 0.7870)
Hf (0.6779, 0.3669, 0.6889)
Hf (0.6779, 0.9890, 0.3111)
Hf (0.8046, 0.2825, 0.0871)
Hf (0.8046, 0.7175, 0.5221)
Hf (0.9708, 0.7578, 0.2130)
Mn (0.1103, 0.6103, 0.5000)
Mn (0.3327, 0.0000, 0.3327)
Mn (0.6673, 0.0000, 0.6673)
Mn (0.8897, 0.3897, 0.5000)
In (0.0000, 0.0000, 0.0000)
In (0.5000, 0.5000, 0.0000)